Zn2CrCl: relaxed, GGA-PBEsol.

Cell lengths 3.5575, 3.5575, 5.5089 Å; angles 90.00, 90.00, 90.00 degrees
With the nearest neighbours (Å) after each atom.
Sites, in units of the cell vectors:
Zn1 0.0000 0.5000 0.0000  4 Zn 2.52
Zn2 0.5000 0.0000 0.0000  4 Zn 2.52
Cr1 0.0000 0.0000 0.5000  4 Cl 2.52
Cl1 0.5000 0.5000 0.5000  4 Cr 2.52

Summary:
raw formation energy	0.2837	eV/atom
energy above the most stable polymorph in this dataset	143	meV per atom



BaMgTe2: relaxed, GGA-PBEsol.

Cell lengths 5.5956, 5.5956, 5.5956 Å; angles 60.00, 60.00, 60.00 degrees
With the nearest neighbours (Å) after each atom.
Sites, in units of the cell vectors:
Ba1 0.0000 0.0000 0.0000  4 Te 3.43, 4 Mg 3.43
Mg1 0.2500 0.2500 0.2500  4 Ba 3.43, 4 Te 3.43
Te1 0.5000 0.5000 0.5000  4 Mg 3.43, 4 Te 3.43
Te2 0.7500 0.7500 0.7500  4 Te 3.43, 4 Ba 3.43

Summary:
raw formation energy	-0.5249	eV/atom



LiMg2SiAg: relaxed, GGA-PBEsol.

Cell lengths 4.9769, 4.9769, 4.5648 Å; angles 90.00, 90.00, 90.00 degrees
With the nearest neighbours (Å) after each atom.
Sites, in units of the cell vectors:
Li1 0.0000 0.0000 0.0000  2 Ag 2.28
Mg1 0.0000 0.5000 0.5000  2 Ag 2.49
Mg2 0.5000 0.0000 0.5000  2 Ag 2.49
Si1 0.5000 0.5000 0.0000  8 Mg 3.38, 4 Li 3.52
Ag1 0.0000 0.0000 0.5000  2 Li 2.28, 4 Mg 2.49

Summary:
raw formation energy	0.4252	eV/atom